# 1
# NiIr2O6, optimized geometry, DFT PBE+U
data_NiIr2O6
_cell_length_a 8.7182
_cell_length_b 8.7182
_cell_length_c 4.2759
_cell_angle_alpha 90.00
_cell_angle_beta 90.00
_cell_angle_gamma 120.00
_symmetry_space_group_name_H-M 'P 3 2 1'
_symmetry_Int_Tables_number 150
_symmetry_space_group_name_Hall 'P 3 2"'
loop_
_atom_site_label
_atom_site_type_symbol
_atom_site_fract_x
_atom_site_fract_y
_atom_site_fract_z
Ni1 Ni 0.0000 0.0000 0.0000
Ni2 Ni 0.3333 0.6667 0.4991
Ir1 Ir 0.0000 0.3442 0.0000
Ir2 Ir 0.0000 0.6782 0.5000
O1 O 0.1064 0.2240 0.2408
O2 O 0.1096 0.5654 0.2518
O3 O 0.2170 0.4424 0.7440
# **Final energy**: -56.76 eV per formula unit
# **Theoretical density**: 9.54 Mg/m³
# **Calculated volume**: 281.46 Å³/cell

=====

# 2
# NiIrO2, optimized geometry, DFT PBE+U
data_NiIrO2
_cell_length_a 2.8217
_cell_length_b 2.8217
_cell_length_c 18.4075
_cell_angle_alpha 90.00
_cell_angle_beta 90.00
_cell_angle_gamma 120.00
_symmetry_space_group_name_H-M 'R -3 m'
_symmetry_Int_Tables_number 166
_symmetry_space_group_name_Hall '-R 3 2"'
loop_
_atom_site_label
_atom_site_type_symbol
_atom_site_fract_x
_atom_site_fract_y
_atom_site_fract_z
Ni1 Ni 0.0000 0.0000 0.0000
Ir1 Ir 0.0000 0.0000 0.5000
O1 O 0.0000 0.0000 0.3954
# **Final energy**: -24.11 eV per formula unit
# **Theoretical density**: 11.10 Mg/m³
# **Calculated volume**: 126.93 Å³/cell

=====

# 3
# NiIr3O, optimized geometry, DFT PBE+U
data_NiIr3O
_cell_length_a 4.0751
_cell_length_b 4.0751
_cell_length_c 4.0751
_cell_angle_alpha 90.00
_cell_angle_beta 90.00
_cell_angle_gamma 90.00
_symmetry_space_group_name_H-M 'P m -3 m'
_symmetry_Int_Tables_number 221
_symmetry_space_group_name_Hall '-P 4 2 3'
loop_
_atom_site_label
_atom_site_type_symbol
_atom_site_fract_x
_atom_site_fract_y
_atom_site_fract_z
Ni1 Ni 0.0000 0.0000 0.0000
Ir1 Ir 0.0000 0.5000 0.5000
O1 O 0.5000 0.5000 0.5000
# **Final energy**: -28.10 eV per formula unit
# **Theoretical density**: 15.98 Mg/m³
# **Calculated volume**: 67.67 Å³/cell